The following is a DFT calculation (PBE-GGA) of a relaxed K3CdBr6 crystal.

Values from the calculation:
Mass density ... 2.91 g/cm³
Uncorrected formation energy ... -1.268 eV/atom
Spin magnetization ... 0.2 μB/f.u.
DOS(E_F) ... 2.8 states/eV/cell

abc: 11.5504 11.5504 6.2642
angles: 90.00 90.00 104.72
Element x y z (fractional)
K 0.1172 0.8828 0.5000
K 0.1982 0.4351 0.4809
K 0.4351 0.1982 0.9809
K 0.5649 0.8018 0.4809
K 0.8018 0.5649 0.9809
K 0.8828 0.1172 0.0000
Cd 0.2929 0.7071 0.8923
Cd 0.7071 0.2929 0.3923
Br 0.0699 0.6204 0.7652
Br 0.1586 0.1644 0.7377
Br 0.1644 0.1586 0.2377
Br 0.2871 0.7129 0.3085
Br 0.3796 0.9301 0.7652
Br 0.4319 0.5681 0.7875
Br 0.5681 0.4319 0.2875
Br 0.6204 0.0699 0.2652
Br 0.7129 0.2871 0.8085
Br 0.8356 0.8414 0.7377
Br 0.8414 0.8356 0.2377
Br 0.9301 0.3796 0.2652